Entry from Alexandria: a relaxed Tl2CdMoF6 crystal (GGA+U).

**E_tot**: -0.162 Ha/atom

```
Tl2CdMoF6
1.0
-1.617 5.926 -1.737
-4.689 0.004 4.381
5.746 3.370 6.147
Tl Cd Mo F
4 2 2 12
Direct
0.500 0.750 0.248
0.000 0.250 0.748
0.500 0.750 0.752
0.000 0.250 0.252
0.000 0.750 0.500
0.500 0.250 0.000
0.500 0.250 0.500
0.000 0.750 0.000
0.500 0.250 0.267
0.500 0.250 0.733
0.000 0.750 0.233
0.000 0.750 0.767
0.265 0.018 0.500
0.735 0.018 0.500
0.265 0.482 0.500
0.735 0.482 0.500
0.765 0.518 0.000
0.235 0.518 0.000
0.235 0.982 0.000
0.765 0.982 0.000
```